An optimized crystal structure of La6Si2PSe3, computed with GGA-PBE.

Unit cell a=4.3460 b=8.7216 c=9.7415 alpha=103.21 beta=102.89 gamma=90.00
Closest atoms and distances in Å follow each position.
Sites, in units of the cell vectors:
Se (0.8339, 0.1661, 0.6679)  6 La 3.12-3.15
Se (0.5000, 0.5000, 0.0000)  6 La 3.12-3.15
Se (0.1661, 0.8339, 0.3321)  6 La 3.12-3.15
La (0.3313, 0.4227, 0.6626)  3 Si 3.05-3.06, 3 Se 3.12-3.13
La (0.6633, 0.0891, 0.3266)  1 P 3.02, 2 Si 3.02, 3 Se 3.12-3.15
La (0.6687, 0.5773, 0.3374)  3 Si 3.05-3.06, 3 Se 3.12-3.13
La (0.9970, 0.7592, 0.9940)  1 Si 3.00, 2 P 3.01, 3 Se 3.12-3.15
La (0.3367, 0.9109, 0.6734)  1 P 3.02, 2 Si 3.02, 3 Se 3.12-3.15
La (0.0030, 0.2408, 0.0060)  1 Si 3.00, 2 P 3.01, 3 Se 3.12-3.15
Si (0.8344, 0.6689, 0.6688)  6 La 3.00-3.06
Si (0.1656, 0.3311, 0.3312)  6 La 3.00-3.06
P (0.5000, 0.0000, 0.0000)  6 La 3.01-3.02

Calculated values
* E: -6.22 eV/atom
* magnetic moment: 0.0 μB per formula unit
* E_form (uncorrected): -1530 meV per atom